# 1
Compound: KHg2SbRu
Source: Alexandria
Functional: GGA-PBE
Structure: relaxed

Its density of states at the Fermi level is 2.9 states/eV/f.u. The calculation puts the density at 7.5 g cm⁻³. The calculation puts the uncorrected formation energy at -0.0458 eV per atom.

It has space group P4/mmm (No. 123), with a = 5.4165 Å, b = 5.4165 Å, c = 4.9942 Å, α = 90.00°, β = 90.00° and γ = 90.00°. The asymmetric unit holds K at (0.0000, 0.0000, 0.0000), Hg at (0.0000, 0.5000, 0.5000), Sb at (0.5000, 0.5000, 0.0000) and Ru at (0.5000, 0.5000, 0.5000).

=====

# 2
Compound: KSn2HgRu
Source: Alexandria
Functional: GGA-PBE
Structure: relaxed

As for the formation energy: -0.04 eV/atom. Its density of states at the Fermi level is 4.1 states/eV/f.u. The calculation puts the density at 6.7 g cm⁻³.

It has space group P4/mmm (No. 123), with a = 5.1337 Å, b = 5.1337 Å, c = 5.4698 Å, α = 90.00°, β = 90.00° and γ = 90.00°. The asymmetric unit holds K at (0.0000, 0.0000, 0.0000), Sn at (0.0000, 0.5000, 0.5000), Hg at (0.5000, 0.5000, 0.0000) and Ru at (0.5000, 0.5000, 0.5000).

=====

# 3
Compound: KSnHg2Ru
Source: Alexandria
Functional: GGA-PBE
Structure: relaxed

As for the formation energy: -0.04 eV/atom. Its density of states at the Fermi level is 1.8 states/eV/f.u. The calculation puts the density at 7.5 g cm⁻³.

It has space group P4/mmm (No. 123), with a = 5.3934 Å, b = 5.3934 Å, c = 5.0381 Å, α = 90.00°, β = 90.00° and γ = 90.00°. The asymmetric unit holds K at (0.0000, 0.0000, 0.0000), Sn at (0.5000, 0.5000, 0.0000), Hg at (0.0000, 0.5000, 0.5000) and Ru at (0.5000, 0.5000, 0.5000).

=====

Computed values of E (unit: eV per atom) for the preceding records, in sequence: -3.0657, -3.7769, -3.0405.